The following is a DFT calculation (GGA-PBE) of a relaxed structure of BaAl2O2.

a b c (Å): 7.6067 7.6067 7.6067
angles (deg): 152.77 152.77 38.89
Last column: nearest neighbours and their distance in Å.
Atoms (fractional coordinates):
Ba: 0.0000 0.0000 0.0000  4 Ba 3.58, 8 Al 3.75, 8 O 4.01
Al: 0.3075 0.3075 0.0000  4 O 1.97
Al: 0.6925 0.6925 0.0000  4 O 1.97
O: 0.2500 0.7500 0.5000  4 Al 1.97
O: 0.7500 0.2500 0.5000  4 Al 1.97

Summary:
M_tot	0.00	μB per cell
symmetry	I4/mmm, No. 139
electronic total energy	-0.414	Ry/atom
raw formation energy	-1765	meV/atom
relative energy among the computed polymorphs	0	meV/atom